Entry 1:
LiPr2Sb4Rh3: optimized geometry, PBE.

The total moment is 0.000 Bohr magnetons per cell. The calculation puts the total energy at -5.80 eV/atom.

The structure belongs to space group P-4m2 (No. 115); the cell edges are 4.569, 4.569 and 10.608 Å and the angles 90.00°, 90.00° and 90.00°. The distinct sites, in fractional coordinates, are Li at (0.000, 0.000, 0.000), Pr at (0.000, 0.500, 0.753), Sb at (0.000, 0.000, 0.500), Sb at (0.000, 0.500, 0.133), Sb at (0.500, 0.500, 0.500), Rh at (0.000, 0.500, 0.379) and Rh at (0.500, 0.500, 0.000).

---

Entry 2:
LiPr2Sb3Rh4: optimized geometry, PBE.

The total moment is 0.000 Bohr magnetons per cell. The calculation puts the total energy at -6.12 eV/atom.

The structure belongs to space group P-4m2 (No. 115); the cell edges are 4.345, 4.345 and 11.006 Å and the angles 90.00°, 90.00° and 90.00°. The distinct sites, in fractional coordinates, are Li at (0.000, 0.000, 0.000), Pr at (0.000, 0.500, 0.757), Sb at (0.000, 0.500, 0.364), Sb at (0.500, 0.500, 0.000), Rh at (0.000, 0.000, 0.500), Rh at (0.000, 0.500, 0.132) and Rh at (0.500, 0.500, 0.500).

---

Entry 3:
LiPrScRh: optimized geometry, PBE.

The total moment is 0.000 Bohr magnetons per cell. The calculation puts the formation energy from the elements at -379 meV per atom. The calculation puts the total energy at -5.47 eV/atom.

The structure belongs to space group F-43m (No. 216); the cell edges are 6.939, 6.939 and 6.939 Å and the angles 90.00°, 90.00° and 90.00°. The distinct sites, in fractional coordinates, are Li at (0.000, 0.000, 0.000), Pr at (0.250, 0.250, 0.750), Sc at (0.250, 0.250, 0.250) and Rh at (0.000, 0.000, 0.500).

---

Entry 4:
LiPrSi2Rh: optimized geometry, PBE.

The total moment is 0.000 Bohr magnetons per cell. The calculation puts the total energy at -5.73 eV/atom.

The structure belongs to space group I-4m2 (No. 119); the cell edges are 4.175, 4.175 and 10.078 Å and the angles 90.00°, 90.00° and 90.00°. The distinct sites, in fractional coordinates, are Li at (0.000, 0.000, 0.000), Pr at (0.000, 0.500, 0.250), Si at (0.000, 0.500, 0.630) and Rh at (0.000, 0.000, 0.500).

---

Entry 5:
LiPrSmRh: optimized geometry, PBE.

The total moment is 0.000 Bohr magnetons per cell. The calculation puts the formation energy from the elements at -351 meV per atom. The calculation puts the total energy at -5.04 eV/atom.

The structure belongs to space group F-43m (No. 216); the cell edges are 7.201, 7.201 and 7.201 Å and the angles 90.00°, 90.00° and 90.00°. The distinct sites, in fractional coordinates, are Li at (0.000, 0.000, 0.000), Pr at (0.250, 0.250, 0.750), Sm at (0.250, 0.250, 0.250) and Rh at (0.000, 0.000, 0.500).

---

Entry 6:
LiPr2Sn2Rh: optimized geometry, PBE.

The total moment is 0.000 Bohr magnetons per cell. The calculation puts the formation energy from the elements at -675 meV per atom. The calculation puts the total energy at -5.15 eV/atom.

The structure belongs to space group Ibam (No. 72); the cell edges are 6.535, 14.200 and 6.446 Å and the angles 90.00°, 90.00° and 90.00°. The distinct sites, in fractional coordinates, are Li at (0.000, 0.000, 0.250), Pr at (0.233, 0.347, 0.000), Sn at (0.243, 0.108, 0.000) and Rh at (0.000, 0.500, 0.250).

---

Entry 7:
LiPrSn4Rh2: optimized geometry, PBE.

The total moment is 0.000 Bohr magnetons per cell. The calculation puts the formation energy from the elements at -545 meV per atom. The calculation puts the total energy at -5.22 eV/atom.

The structure belongs to space group R-3m (No. 166, hexagonal axes); the cell edges are 4.5787, 4.5787 and 27.6741 Å and the angles 90.00°, 90.00° and 120.00°. The distinct sites, in fractional coordinates, are Li at (0.0000, 0.0000, 0.0000), Pr at (0.0000, 0.0000, 0.5000), Sn at (0.0000, 0.0000, 0.1029), Sn at (0.0000, 0.0000, 0.3706) and Rh at (0.0000, 0.0000, 0.2695).

---

Entry 8:
LiPr2Sn4Rh3: optimized geometry, PBE.

The total moment is 0.000 Bohr magnetons per cell. The calculation puts the formation energy from the elements at -672 meV per atom. The calculation puts the total energy at -5.63 eV/atom.

The structure belongs to space group P-4m2 (No. 115); the cell edges are 4.605, 4.605 and 10.453 Å and the angles 90.00°, 90.00° and 90.00°. The distinct sites, in fractional coordinates, are Li at (0.000, 0.000, 0.000), Pr at (0.000, 0.500, 0.752), Sn at (0.000, 0.000, 0.500), Sn at (0.000, 0.500, 0.126), Sn at (0.500, 0.500, 0.500), Rh at (0.000, 0.500, 0.373) and Rh at (0.500, 0.500, 0.000).

---

Entry 9:
LiPrSn2Rh: optimized geometry, PBE.

The total moment is 0.000 Bohr magnetons per cell. The calculation puts the formation energy from the elements at -591 meV per atom. The calculation puts the total energy at -5.00 eV/atom.

The structure belongs to space group I-4m2 (No. 119); the cell edges are 4.466, 4.466 and 11.294 Å and the angles 90.00°, 90.00° and 90.00°. The distinct sites, in fractional coordinates, are Li at (0.000, 0.000, 0.000), Pr at (0.000, 0.500, 0.250), Sn at (0.000, 0.500, 0.624) and Rh at (0.000, 0.000, 0.500).

---

Entry 10:
LiPr2Sn2Rh5: optimized geometry, PBE.

The total moment is 0.000 Bohr magnetons per cell. The calculation puts the formation energy from the elements at -389 meV per atom. The calculation puts the total energy at -6.01 eV/atom.

The structure belongs to space group P4/mbm (No. 127); the cell edges are 10.407, 10.407 and 3.631 Å and the angles 90.00°, 90.00° and 90.00°. The distinct sites, in fractional coordinates, are Li at (0.000, 0.000, 0.000), Pr at (0.169, 0.331, 0.000), Sn at (0.131, 0.631, 0.000), Rh at (0.000, 0.500, 0.500) and Rh at (0.055, 0.801, 0.500).

---

Entry 11:
LiPr2Sn3Rh4: optimized geometry, PBE.

The total moment is 0.000 Bohr magnetons per cell. The calculation puts the formation energy from the elements at -662 meV per atom. The calculation puts the total energy at -5.95 eV/atom.

The structure belongs to space group P-4m2 (No. 115); the cell edges are 4.272, 4.272 and 11.542 Å and the angles 90.00°, 90.00° and 90.00°. The distinct sites, in fractional coordinates, are Li at (0.000, 0.000, 0.000), Pr at (0.000, 0.500, 0.760), Sn at (0.000, 0.500, 0.370), Sn at (0.500, 0.500, 0.000), Rh at (0.000, 0.000, 0.500), Rh at (0.000, 0.500, 0.141) and Rh at (0.500, 0.500, 0.500).

---

Entry 12:
LiTbPrRh: optimized geometry, PBE.

The total moment is 0.000 Bohr magnetons per cell. The calculation puts the formation energy from the elements at -384 meV per atom. The calculation puts the total energy at -5.05 eV/atom.

The structure belongs to space group F-43m (No. 216); the cell edges are 7.143, 7.143 and 7.143 Å and the angles 90.00°, 90.00° and 90.00°. The distinct sites, in fractional coordinates, are Li at (0.000, 0.000, 0.000), Tb at (0.250, 0.250, 0.750), Pr at (0.250, 0.250, 0.250) and Rh at (0.000, 0.000, 0.500).

---

Number 1: volume 22.1 Å³/atom. Number 2: volume 20.8 Å³/atom. Number 3: volume 20.9 Å³/atom. Number 4: volume 17.6 Å³/atom. Number 5: volume 23.3 Å³/atom. Number 6: volume 24.9 Å³/atom. Number 7: volume 20.9 Å³/atom. Number 8: volume 22.2 Å³/atom. Number 9: volume 22.5 Å³/atom. Number 10: volume 19.7 Å³/atom. Number 11: volume 21.1 Å³/atom. Number 12: volume 22.8 Å³/atom.